12
Lattice="1.899 -7.409 0.000 1.899 7.409 0.000 0.000 0.000 11.334" Properties=species:S:1:pos:R:3 comment="TlNiTe3Au PBE-GGA optimized geometry" crystal_system=orthorhombic relative_energy_ev_per_atom=0.023 total_magnetization_mub_per_cell=0.0 pbc="T T T"
Tl 1.899 4.250 8.500
Tl 1.899 -4.250 2.833
Ni 1.899 0.000 0.000
Ni 1.899 0.000 5.667
Te 1.899 5.694 0.122
Te 1.899 5.694 5.545
Te 1.899 0.277 2.833
Te 1.899 -0.277 8.500
Te 1.899 -5.694 5.789
Te 1.899 -5.694 11.212
Au 1.899 5.435 2.833
Au 1.899 -5.435 8.500